Entry from Alexandria: a geometry-optimized NaSn6H2 structure (GGA-PBE).

a b c (Å): 4.258 17.094 13.866
angles (deg): 64.59 141.96 147.96
Positions (direct):
Na 0.000 0.000 0.000
Sn 0.598 0.613 0.987
Sn 0.237 0.966 0.348
Sn 0.402 0.387 0.013
Sn 0.596 0.608 0.447
Sn 0.763 0.034 0.652
Sn 0.404 0.392 0.553
H 0.911 0.289 0.366
H 0.089 0.711 0.634

Magnetization: 0.00 Bohr magnetons per cell
Fermi-level density of states: 0.2356 states/eV per atom
Raw total energy: -31.23 eV/f.u.